LiCdTeMoBr: optimized geometry, PBE-GGA.

Cell lengths 3.5264, 3.5264, 32.5789 Å; angles 90.00, 90.00, 120.00 degrees
Last column: nearest neighbours and their distance in Å.
Atoms (fractional coordinates):
Mo 0.3333 0.6667 0.2110  3 Te 2.68, 3 Cd 2.94
Mo 0.0000 0.0000 0.5443  3 Te 2.68, 3 Cd 2.94
Mo 0.6667 0.3333 0.8776  3 Te 2.68, 3 Cd 2.94
Br 0.3333 0.6667 0.7235  3 Li 2.39
Br 0.6667 0.3333 0.3902  3 Li 2.39
Br 0.0000 0.0000 0.0568  3 Li 2.39
Te 0.6667 0.3333 0.5978  3 Mo 2.68, 1 Li 2.84
Te 0.0000 0.0000 0.2645  3 Mo 2.68, 1 Li 2.84
Te 0.3333 0.6667 0.9312  3 Mo 2.68, 1 Li 2.84
Cd 0.3333 0.6667 0.8126  1 Br 2.90, 3 Mo 2.94
Cd 0.0000 0.0000 0.1459  1 Br 2.90, 3 Mo 2.94
Cd 0.6667 0.3333 0.4793  1 Br 2.90, 3 Mo 2.94
Li 0.0000 0.0000 0.3516  3 Br 2.39
Li 0.3333 0.6667 0.0183  3 Br 2.39
Li 0.6667 0.3333 0.6849  3 Br 2.39

For the density of states at the Fermi level, the calculation gives 0.525 states/eV/atom. The calculation puts the raw formation energy at -1.75 eV/f.u. As for the crystal system: trigonal. As for the relative energy among the computed polymorphs: 0.034 eV per atom. As for the space group: R3m (160).

GaHS: optimized geometry, PBE-GGA.

Cell lengths 4.2853, 6.1672, 4.4745 Å; angles 108.40, 89.99, 90.03 degrees
Last column: nearest neighbours and their distance in Å.
Atoms (fractional coordinates):
H 0.6150 0.2294 0.4294  1 S 1.37
H 0.1152 0.8649 0.3706  1 S 1.37
Ga 0.6394 0.5459 0.0467  2 S 2.47-2.50, 2 Ga 2.51-2.52
Ga 0.1395 0.5482 0.7533  2 S 2.47-2.50, 2 Ga 2.51-2.52
S 0.8695 0.8181 0.5347  1 H 1.37
S 0.3692 0.2759 0.2653  1 H 1.37

For the density of states at the Fermi level, the calculation gives 0.039 states/eV/atom. As for the crystal system: monoclinic. As for the relative energy among the computed polymorphs: 0.145 eV per atom. As for the space group: P2_1 (4).

Ce3Hf2ThP6: optimized geometry, PBE-GGA.

Cell lengths 6.8657, 6.8657, 6.8593 Å; angles 99.66, 99.66, 120.05 degrees
Last column: nearest neighbours and their distance in Å.
Atoms (fractional coordinates):
Ce 0.5000 0.5000 0.5000  6 P 2.78-2.90
Ce 0.8380 0.1620 0.5000  6 P 2.80-2.91
Ce 0.1620 0.8380 0.5000  6 P 2.80-2.91
P 0.7259 0.7259 0.2307  2 Hf 2.69, 3 Ce 2.78-2.89, 1 Th 2.84
P 0.5706 0.9209 0.7637  2 Hf 2.69-2.70, 3 Ce 2.80-2.91, 1 Th 2.85
P 0.4294 0.0791 0.2363  2 Hf 2.69-2.70, 3 Ce 2.80-2.91, 1 Th 2.85
P 0.2741 0.2741 0.7693  2 Hf 2.69, 3 Ce 2.78-2.89, 1 Th 2.84
P 0.0791 0.4294 0.2363  2 Hf 2.69-2.70, 3 Ce 2.80-2.91, 1 Th 2.85
P 0.9209 0.5706 0.7637  2 Hf 2.69-2.70, 3 Ce 2.80-2.91, 1 Th 2.85
Th 0.0000 0.0000 0.0000  6 P 2.84-2.85
Hf 0.3319 0.6681 0.0000  6 P 2.69-2.70
Hf 0.6681 0.3319 0.0000  6 P 2.69-2.70

For the density of states at the Fermi level, the calculation gives 0.929 states/eV/atom. The electronic total energy comes out at -0.2903 Ha/atom. As for the crystal system: monoclinic. As for the space group: C2/m (12).

Pm2PrTh3N6: optimized geometry, PBE-GGA.

Cell lengths 6.3395, 6.3395, 6.3118 Å; angles 99.65, 99.65, 119.95 degrees
Last column: nearest neighbours and their distance in Å.
Atoms (fractional coordinates):
Pm 0.3332 0.6668 0.0000  6 N 2.62-2.63
Pm 0.6668 0.3332 0.0000  6 N 2.62-2.63
Pr 0.0000 0.0000 0.0000  6 N 2.66
Th 0.1667 0.8333 0.5000  6 N 2.51-2.55
Th 0.5000 0.5000 0.5000  6 N 2.51-2.55
Th 0.8333 0.1667 0.5000  6 N 2.51-2.55
N 0.2499 0.2499 0.7362  3 Th 2.51-2.55, 2 Pm 2.62, 1 Pr 2.66
N 0.5740 0.9119 0.7353  3 Th 2.51-2.55, 2 Pm 2.62-2.63, 1 Pr 2.66
N 0.0881 0.4260 0.2647  3 Th 2.51-2.55, 2 Pm 2.62-2.63, 1 Pr 2.66
N 0.9119 0.5740 0.7353  3 Th 2.51-2.55, 2 Pm 2.62-2.63, 1 Pr 2.66
N 0.4260 0.0881 0.2647  3 Th 2.51-2.55, 2 Pm 2.62-2.63, 1 Pr 2.66
N 0.7501 0.7501 0.2638  3 Th 2.51-2.55, 2 Pm 2.62, 1 Pr 2.66

For the density of states at the Fermi level, the calculation gives 0.356 states/eV/atom. The calculation puts the raw formation energy at -18.30 eV/f.u. As for the crystal system: monoclinic. As for the space group: C2/m (12).

CaCe2Nd3Se6: optimized geometry, PBE-GGA.

Cell lengths 7.3058, 7.3058, 7.3075 Å; angles 99.61, 99.61, 120.07 degrees
Last column: nearest neighbours and their distance in Å.
Atoms (fractional coordinates):
Nd 0.5000 0.5000 0.5000  6 Se 2.99-3.03
Nd 0.1660 0.8340 0.5000  6 Se 2.99-3.02
Nd 0.8340 0.1660 0.5000  6 Se 2.99-3.02
Se 0.2480 0.2480 0.7552  1 Ca 2.94, 2 Ce 2.97, 3 Nd 2.99-3.03
Se 0.9184 0.5882 0.7544  1 Ca 2.94, 2 Ce 2.98, 3 Nd 2.99-3.02
Se 0.0816 0.4118 0.2456  1 Ca 2.94, 2 Ce 2.98, 3 Nd 2.99-3.02
Se 0.5882 0.9184 0.7544  1 Ca 2.94, 2 Ce 2.98, 3 Nd 2.99-3.02
Se 0.4118 0.0816 0.2456  1 Ca 2.94, 2 Ce 2.98, 3 Nd 2.99-3.02
Se 0.7520 0.7520 0.2448  1 Ca 2.94, 2 Ce 2.97, 3 Nd 2.99-3.03
Ce 0.3340 0.6660 0.0000  6 Se 2.97-2.98
Ce 0.6660 0.3340 0.0000  6 Se 2.97-2.98
Ca 0.0000 0.0000 0.0000  6 Se 2.94

For the density of states at the Fermi level, the calculation gives 1.297 states/eV/atom. The calculation puts the raw formation energy at -22.20 eV/f.u. As for the crystal system: monoclinic. As for the space group: C2/m (12).

ZrIr4Br: optimized geometry, PBE-GGA.

Cell lengths 5.2930, 5.2930, 5.2930 Å; angles 60.00, 60.00, 60.00 degrees
Last column: nearest neighbours and their distance in Å.
Atoms (fractional coordinates):
Ir 0.3753 0.3753 0.3753  6 Ir 2.64-2.65
Ir 0.3753 0.8741 0.3753  6 Ir 2.64-2.65
Ir 0.3753 0.3753 0.8741  6 Ir 2.64-2.65
Ir 0.8741 0.3753 0.3753  6 Ir 2.64-2.65
Br 0.0000 0.0000 0.0000  12 Ir 3.10, 4 Zr 3.24
Zr 0.7500 0.7500 0.7500  12 Ir 3.10, 4 Br 3.24

For the density of states at the Fermi level, the calculation gives 1.980 states/eV/atom. The calculation puts the raw formation energy at 1.37 eV/f.u. As for the crystal system: cubic. As for the space group: F-43m (216).

YTl2Hg: optimized geometry, PBE-GGA.

Cell lengths 4.5337, 4.5337, 7.1526 Å; angles 71.52, 71.52, 60.00 degrees
Last column: nearest neighbours and their distance in Å.
Atoms (fractional coordinates):
Tl 0.0873 0.0873 0.7381  3 Hg 3.05, 3 Y 3.12, 1 Tl 3.13
Tl 0.2443 0.2443 0.2672  3 Hg 3.05, 1 Tl 3.13, 3 Y 3.19
Y 0.6692 0.6692 0.9925  6 Tl 3.12-3.19, 1 Hg 3.39
Hg 0.4993 0.4993 0.5022  6 Tl 3.05, 1 Y 3.39

For the density of states at the Fermi level, the calculation gives 0.453 states/eV/atom. The electronic total energy comes out at -0.1054 Ha/atom. As for the crystal system: trigonal. As for the space group: R3m (160).

HfHgS2: optimized geometry, PBE-GGA.

Cell lengths 18.5275, 6.7091, 6.7091 Å; angles 89.97, 100.53, 79.47 degrees
Last column: nearest neighbours and their distance in Å.
Atoms (fractional coordinates):
Hf 0.3148 0.0930 0.1572  6 S 2.48-2.65
Hf 0.1852 0.6572 0.5930  6 S 2.48-2.65
Hf 0.1642 0.6741 0.0818  2 S 2.38-2.39
Hf 0.3358 0.5818 0.1741  2 S 2.38-2.39
Hf 0.6852 0.9070 0.8428  6 S 2.48-2.65
Hf 0.8358 0.3259 0.9182  2 S 2.38-2.39
Hf 0.8148 0.3428 0.4070  6 S 2.48-2.65
Hf 0.6642 0.4182 0.8259  2 S 2.38-2.39
S 0.9228 0.3025 0.6942  2 Hf 2.38-2.49
S 0.0773 0.6981 0.7689  2 Hf 2.39-2.48
S 0.2471 0.3909 0.3542  4 Hf 2.65-2.70
S 0.2529 0.8542 0.8909  4 Hf 2.65-2.70
S 0.5772 0.1942 0.8025  2 Hf 2.38-2.49
S 0.2500 0.8594 0.3594  4 Hf 2.65-2.68
S 0.4228 0.8058 0.1975  2 Hf 2.38-2.49
S 0.9227 0.3019 0.2311  2 Hf 2.39-2.48
S 0.5773 0.7311 0.8019  2 Hf 2.39-2.48
S 0.7500 0.6068 0.1068  4 Hf 2.64-2.71
S 0.4227 0.2689 0.1981  2 Hf 2.39-2.48
S 0.7500 0.1406 0.6406  4 Hf 2.65-2.68
S 0.7529 0.6091 0.6458  4 Hf 2.65-2.70
S 0.0772 0.6975 0.3058  2 Hf 2.38-2.49
S 0.2500 0.3932 0.8932  4 Hf 2.64-2.71
S 0.7471 0.1458 0.1091  4 Hf 2.65-2.70
Hg 0.1018 0.1736 0.5513  2 Hg 3.35-3.39, 1 Hf 3.51, 7 S 3.57-3.72
Hg 0.3982 0.0513 0.6736  2 Hg 3.35-3.39, 1 Hf 3.51, 7 S 3.57-3.72
Hg 0.0892 0.1503 0.0416  1 Hf 3.23, 2 Hg 3.35-3.39, 6 S 3.49-3.62
Hg 0.4108 0.5416 0.6503  1 Hf 3.23, 2 Hg 3.35-3.39, 6 S 3.49-3.62
Hg 0.5892 0.4584 0.3497  1 Hf 3.23, 2 Hg 3.35-3.39, 6 S 3.49-3.62
Hg 0.9108 0.8497 0.9584  1 Hf 3.23, 2 Hg 3.35-3.39, 6 S 3.49-3.62
Hg 0.6018 0.9487 0.3264  2 Hg 3.35-3.39, 1 Hf 3.51, 7 S 3.57-3.72
Hg 0.8982 0.8264 0.4487  2 Hg 3.35-3.39, 1 Hf 3.51, 7 S 3.57-3.72

For the density of states at the Fermi level, the calculation gives 0.000 states/eV/atom. The calculation puts the raw formation energy at -3.68 eV/f.u. As for the crystal system: monoclinic. As for the space group: C2/c (15).

NdHo2TcN4: optimized geometry, PBE-GGA.

Cell lengths 3.4563, 6.0936, 11.5646 Å; angles 90.00, 90.00, 106.48 degrees
Last column: nearest neighbours and their distance in Å.
Atoms (fractional coordinates):
Nd 0.1224 0.2448 0.7500  6 N 2.61-2.74
Nd 0.8776 0.7552 0.2500  6 N 2.61-2.74
N 0.2632 0.5263 0.1267  1 Tc 2.02
N 0.0000 0.0000 0.0000  4 Ho 2.36
N 0.4400 0.8800 0.7500  2 Tc 1.97
N 0.7368 0.4737 0.8733  1 Tc 2.02
N 0.7368 0.4737 0.6267  1 Tc 2.02
N 0.5600 0.1200 0.2500  2 Tc 1.97
N 0.0000 0.0000 0.5000  4 Ho 2.36
N 0.2632 0.5263 0.3733  1 Tc 2.02
Ho 0.6313 0.2626 0.4601  5 N 2.29-2.52
Ho 0.3687 0.7374 0.9601  5 N 2.29-2.52
Ho 0.3687 0.7374 0.5399  5 N 2.29-2.52
Ho 0.6313 0.2626 0.0399  5 N 2.29-2.52
Tc 0.8587 0.7173 0.7500  4 N 1.97-2.02
Tc 0.1413 0.2827 0.2500  4 N 1.97-2.02

For the density of states at the Fermi level, the calculation gives 0.199 states/eV/atom. The calculation puts the raw formation energy at -8.82 eV/f.u. As for the crystal system: orthorhombic. As for the space group: Cmcm (63).

Ce3HgPb3: optimized geometry, PBE-GGA.

Cell lengths 5.8785, 8.9181, 8.9181 Å; angles 120.00, 90.00, 90.00 degrees
Last column: nearest neighbours and their distance in Å.
Atoms (fractional coordinates):
Ce 0.7500 0.9070 0.3714  5 Pb 3.23-3.43, 3 Hg 3.37-3.55, 4 Ce 3.46-3.58
Ce 0.2500 0.5357 0.9070  5 Pb 3.23-3.43, 3 Hg 3.37-3.55, 4 Ce 3.46-3.58
Ce 0.7500 0.4643 0.0930  5 Pb 3.23-3.43, 3 Hg 3.37-3.55, 4 Ce 3.46-3.58
Ce 0.2500 0.3714 0.4643  5 Pb 3.23-3.43, 3 Hg 3.37-3.55, 4 Ce 3.46-3.58
Ce 0.7500 0.6286 0.5357  5 Pb 3.23-3.43, 3 Hg 3.37-3.55, 4 Ce 3.46-3.58
Ce 0.2500 0.0930 0.6286  5 Pb 3.23-3.43, 3 Hg 3.37-3.55, 4 Ce 3.46-3.58
Pb 0.2500 0.8060 0.7490  5 Ce 3.23-3.43, 1 Hg 3.27, 6 Pb 3.52-3.57
Pb 0.7500 0.1940 0.2510  5 Ce 3.23-3.43, 1 Hg 3.27, 6 Pb 3.52-3.57
Pb 0.7500 0.0570 0.8060  5 Ce 3.23-3.43, 1 Hg 3.27, 6 Pb 3.52-3.57
Pb 0.2500 0.2510 0.0570  5 Ce 3.23-3.43, 1 Hg 3.27, 6 Pb 3.52-3.57
Pb 0.7500 0.7490 0.9430  5 Ce 3.23-3.43, 1 Hg 3.27, 6 Pb 3.52-3.57
Pb 0.2500 0.9430 0.1940  5 Ce 3.23-3.43, 1 Hg 3.27, 6 Pb 3.52-3.57
Hg 0.2500 0.6667 0.3333  3 Pb 3.27, 9 Ce 3.37-3.55
Hg 0.7500 0.3333 0.6667  3 Pb 3.27, 9 Ce 3.37-3.55

For the density of states at the Fermi level, the calculation gives 2.729 states/eV/atom. The electronic total energy comes out at -0.1608 Ha/atom. As for the crystal system: hexagonal. As for the space group: P6_3/m (176).

Cs3MgCd2Br9: optimized geometry, PBE-GGA.

Cell lengths 7.8587, 7.8587, 9.6317 Å; angles 90.00, 90.00, 120.00 degrees
Last column: nearest neighbours and their distance in Å.
Atoms (fractional coordinates):
Br 0.8368 0.6736 0.6622  1 Mg 2.72, 1 Cd 2.81
Br 0.6736 0.8368 0.3378  1 Mg 2.72, 1 Cd 2.81
Br 0.5000 0.0000 0.0000  2 Cd 2.81
Br 0.0000 0.5000 0.0000  2 Cd 2.81
Br 0.1632 0.3264 0.3378  1 Mg 2.72, 1 Cd 2.81
Br 0.5000 0.5000 0.0000  2 Cd 2.81
Br 0.8368 0.1632 0.6622  1 Mg 2.72, 1 Cd 2.81
Br 0.3264 0.1632 0.6622  1 Mg 2.72, 1 Cd 2.81
Br 0.1632 0.8368 0.3378  1 Mg 2.72, 1 Cd 2.81
Cd 0.3333 0.6667 0.1718  6 Br 2.81
Cd 0.6667 0.3333 0.8282  6 Br 2.81
Cs 0.0000 0.0000 0.0000  12 Br 3.93-3.94
Cs 0.6667 0.3333 0.3326  12 Br 3.93
Cs 0.3333 0.6667 0.6674  12 Br 3.93
Mg 0.0000 0.0000 0.5000  6 Br 2.72

The calculation puts the raw formation energy at -20.26 eV/f.u. As for the crystal system: trigonal. As for the space group: P-3m1 (164).

ScZnFe: optimized geometry, PBE-GGA.

Cell lengths 4.2303, 4.2303, 4.2303 Å; angles 60.00, 60.00, 60.00 degrees
Last column: nearest neighbours and their distance in Å.
Atoms (fractional coordinates):
Fe 0.7500 0.7500 0.7500  4 Sc 2.59, 4 Zn 2.59
Zn 0.5000 0.5000 0.5000  4 Fe 2.59
Sc 0.0000 0.0000 0.0000  4 Fe 2.59

For the density of states at the Fermi level, the calculation gives 2.069 states/eV/atom. The electronic total energy comes out at -0.1870 Ha/atom. As for the crystal system: cubic. As for the space group: F-43m (216).

Q: What is the formula in the twelfth record?
A: ScZnFe